# 1
Entry from the Alexandria database: BaSb2Ir at its PBEsol-relaxed geometry (SCAN).

Output
The calculation puts the calculated total energy at -46.41 eV per atom. As for the density of states at the Fermi level: 0.53 states/eV/atom. Its space-group type is No. 123.

Lattice parameters (Å, degrees): 3.4289 3.4289 8.2279 90.00 90.00 90.00
With the nearest neighbours (Å) after each atom.
Positions (direct):
1 Ba 0.0000 0.0000 0.0000  4 Ba 3.43, 8 Sb 3.55
2 Sb 0.5000 0.5000 0.3148  4 Ir 2.86, 1 Sb 3.05
3 Sb 0.5000 0.5000 0.6852  4 Ir 2.86, 1 Sb 3.05
4 Ir 0.0000 0.0000 0.5000  8 Sb 2.86

# 2
Entry from the Alexandria database: BaSb2Ir at its PBEsol-relaxed geometry (SCAN).

Output
The calculation puts the calculated total energy at -46.98 eV per atom. As for the density of states at the Fermi level: 0.35 states/eV/atom. Its space-group type is No. 166.

Lattice parameters (Å, degrees): 4.3749 4.3749 19.3144 90.00 90.00 120.00
With the nearest neighbours (Å) after each atom.
Positions (direct):
1 Ba 0.0000 0.0000 0.0000  6 Sb 3.37
2 Ba 0.3333 0.6667 0.6667  6 Sb 3.37
3 Ba 0.6667 0.3333 0.3333  6 Sb 3.37
4 Sb 0.0000 0.0000 0.2181  3 Ir 2.71
5 Sb 0.0000 0.0000 0.7819  3 Ir 2.71
6 Sb 0.3333 0.6667 0.4486  3 Ir 2.71
7 Sb 0.3333 0.6667 0.8847  3 Ir 2.71
8 Sb 0.6667 0.3333 0.1153  3 Ir 2.71
9 Sb 0.6667 0.3333 0.5514  3 Ir 2.71
10 Ir 0.0000 0.0000 0.5000  6 Sb 2.71
11 Ir 0.3333 0.6667 0.1667  6 Sb 2.71
12 Ir 0.6667 0.3333 0.8333  6 Sb 2.71

# 3
Entry from the Alexandria database: BaScIr at its PBEsol-relaxed geometry (SCAN).

Output
The calculation puts the calculated total energy at -42.00 eV per atom. As for the density of states at the Fermi level: 0.67 states/eV/atom. Its space-group type is No. 107.

Lattice parameters (Å, degrees): 3.4111 3.4111 13.5420 90.00 90.00 90.00
With the nearest neighbours (Å) after each atom.
Positions (direct):
1 Ba 0.0000 0.0000 0.0000  4 Ir 3.29, 1 Sc 3.41, 4 Ba 3.41
2 Ba 0.5000 0.5000 0.5000  4 Ir 3.29, 1 Sc 3.41, 4 Ba 3.41
3 Sc 0.0000 0.0000 0.2518  4 Ir 2.68
4 Sc 0.5000 0.5000 0.7518  4 Ir 2.68
5 Ir 0.0000 0.0000 0.6650  4 Sc 2.68
6 Ir 0.5000 0.5000 0.1650  4 Sc 2.68

# 4
Entry from the Alexandria database: BaSc3Ir at its PBEsol-relaxed geometry (SCAN).

Output
The calculation puts the calculated total energy at -28.98 eV per atom. As for the density of states at the Fermi level: 0.86 states/eV/atom. Its space-group type is No. 221.

Lattice parameters (Å, degrees): 4.9884 4.9884 4.9884 90.00 90.00 90.00
With the nearest neighbours (Å) after each atom.
Positions (direct):
1 Ba 0.0000 0.0000 0.0000  6 Sc 2.49
2 Sc 0.0000 0.0000 0.5000  2 Ba 2.49
3 Sc 0.0000 0.5000 0.0000  2 Ba 2.49
4 Sc 0.5000 0.0000 0.0000  2 Ba 2.49
5 Ir 0.5000 0.5000 0.5000  12 Sc 3.53

# 5
Entry from the Alexandria database: Ba2ScIr at its PBEsol-relaxed geometry (SCAN).

Output
The calculation puts the calculated total energy at -41.39 eV per atom. As for the density of states at the Fermi level: 0.63 states/eV/atom. Its space-group type is No. 160.

Lattice parameters (Å, degrees): 4.4165 4.4165 26.7807 90.00 90.00 120.00
With the nearest neighbours (Å) after each atom.
Positions (direct):
1 Ba 0.0000 0.0000 0.0000  3 Sc 3.52, 3 Ir 3.53
2 Ba 0.0000 0.0000 0.1819  3 Ir 3.52, 3 Sc 3.53
3 Ba 0.3333 0.6667 0.6667  3 Sc 3.52, 3 Ir 3.53
4 Ba 0.3333 0.6667 0.8486  3 Ir 3.52, 3 Sc 3.53
5 Ba 0.6667 0.3333 0.3333  3 Sc 3.52, 3 Ir 3.53
6 Ba 0.6667 0.3333 0.5153  3 Ir 3.52, 3 Sc 3.53
7 Sc 0.0000 0.0000 0.4242  3 Ir 2.55
8 Sc 0.3333 0.6667 0.0908  3 Ir 2.55
9 Sc 0.6667 0.3333 0.7575  3 Ir 2.55
10 Ir 0.0000 0.0000 0.7581  3 Sc 2.55
11 Ir 0.3333 0.6667 0.4247  3 Sc 2.55
12 Ir 0.6667 0.3333 0.0914  3 Sc 2.55

# 6
Entry from the Alexandria database: BaSc2Ir at its PBEsol-relaxed geometry (SCAN).

Output
The calculation puts the calculated total energy at -35.23 eV per atom. The offset from the most stable computed form comes out at 0 meV/atom. As for the density of states at the Fermi level: 0.95 states/eV/atom. Its space-group type is No. 166.

Lattice parameters (Å, degrees): 4.0880 4.0880 23.8112 90.00 90.00 120.00
With the nearest neighbours (Å) after each atom.
Positions (direct):
1 Ba 0.0000 0.0000 0.0000  6 Sc 3.72, 6 Ba 4.09
2 Ba 0.3333 0.6667 0.6667  6 Sc 3.72, 6 Ba 4.09
3 Ba 0.6667 0.3333 0.3333  6 Sc 3.72, 6 Ba 4.09
4 Sc 0.0000 0.0000 0.2128  3 Ir 2.60
5 Sc 0.0000 0.0000 0.7872  3 Ir 2.60
6 Sc 0.3333 0.6667 0.4539  3 Ir 2.60
7 Sc 0.3333 0.6667 0.8795  3 Ir 2.60
8 Sc 0.6667 0.3333 0.1205  3 Ir 2.60
9 Sc 0.6667 0.3333 0.5461  3 Ir 2.60
10 Ir 0.0000 0.0000 0.5000  6 Sc 2.60
11 Ir 0.3333 0.6667 0.1667  6 Sc 2.60
12 Ir 0.6667 0.3333 0.8333  6 Sc 2.60

# 7
Entry from the Alexandria database: BaSc2Ir at its PBEsol-relaxed geometry (SCAN).

Output
The calculation puts the calculated total energy at -34.57 eV per atom. The offset from the most stable computed form comes out at 656 meV/atom. As for the density of states at the Fermi level: 0.90 states/eV/atom. Its space-group type is No. 123.

Lattice parameters (Å, degrees): 4.3739 4.3739 4.7544 90.00 90.00 90.00
With the nearest neighbours (Å) after each atom.
Positions (direct):
1 Ba 0.0000 0.0000 0.0000  4 Ir 3.09, 8 Sc 3.23
2 Sc 0.0000 0.5000 0.5000  4 Sc 3.09, 4 Ba 3.23, 4 Ir 3.23
3 Sc 0.5000 0.0000 0.5000  4 Sc 3.09, 4 Ba 3.23, 4 Ir 3.23
4 Ir 0.5000 0.5000 0.0000  4 Ba 3.09, 8 Sc 3.23

# 8
Entry from the Alexandria database: BaIr2Se at its PBEsol-relaxed geometry (SCAN).

Output
The calculation puts the calculated total energy at -50.49 eV per atom. As for the density of states at the Fermi level: 0.67 states/eV/atom. Its space-group type is No. 44.

Lattice parameters (Å, degrees): 3.7587 5.8763 8.7149 90.00 90.00 90.00
With the nearest neighbours (Å) after each atom.
Positions (direct):
1 Ba 0.0000 0.0000 0.0000  8 Ir 3.26-3.49, 4 Se 3.27-3.39
2 Ba 0.5000 0.5000 0.5000  8 Ir 3.26-3.49, 4 Se 3.27-3.39
3 Ir 0.0000 0.0000 0.4902  2 Ir 2.40, 2 Se 2.47
4 Ir 0.0000 0.5000 0.1624  2 Ir 2.40
5 Ir 0.5000 0.0000 0.6624  2 Ir 2.40
6 Ir 0.5000 0.5000 0.9902  2 Ir 2.40, 2 Se 2.47
7 Se 0.0000 0.5000 0.8069  2 Ir 2.47
8 Se 0.5000 0.0000 0.3069  2 Ir 2.47

# 9
Entry from the Alexandria database: BaIrSe at its PBEsol-relaxed geometry (SCAN).

Output
The calculation puts the calculated total energy at -42.89 eV per atom. As for the density of states at the Fermi level: 0.55 states/eV/atom. Its space-group type is No. 216.

Lattice parameters (Å, degrees): 7.1099 7.1099 7.1099 90.00 90.00 90.00
With the nearest neighbours (Å) after each atom.
Positions (direct):
1 Ba 0.0000 0.0000 0.0000  4 Se 3.08, 4 Ir 3.08
2 Ba 0.0000 0.5000 0.5000  4 Se 3.08, 4 Ir 3.08
3 Ba 0.5000 0.0000 0.5000  4 Se 3.08, 4 Ir 3.08
4 Ba 0.5000 0.5000 0.0000  4 Se 3.08, 4 Ir 3.08
5 Ir 0.2500 0.2500 0.2500  4 Ba 3.08
6 Ir 0.2500 0.7500 0.7500  4 Ba 3.08
7 Ir 0.7500 0.2500 0.7500  4 Ba 3.08
8 Ir 0.7500 0.7500 0.2500  4 Ba 3.08
9 Se 0.2500 0.2500 0.7500  4 Ba 3.08
10 Se 0.2500 0.7500 0.2500  4 Ba 3.08
11 Se 0.7500 0.2500 0.2500  4 Ba 3.08
12 Se 0.7500 0.7500 0.7500  4 Ba 3.08

# 10
Entry from the Alexandria database: BaIr2Se at its PBEsol-relaxed geometry (SCAN).

Output
The calculation puts the calculated total energy at -49.84 eV per atom. As for the density of states at the Fermi level: 0.91 states/eV/atom. Its space-group type is No. 47.

Lattice parameters (Å, degrees): 2.9974 5.1163 5.1163 90.00 90.00 90.00
With the nearest neighbours (Å) after each atom.
Positions (direct):
1 Ba 0.0000 0.0000 0.0000  4 Ir 2.96, 4 Se 2.96, 2 Ba 3.00
2 Ir 0.0000 0.5000 0.5000  4 Se 2.96, 6 Ir 2.96-3.00
3 Ir 0.5000 0.5000 0.0000  4 Ba 2.96, 6 Ir 2.96-3.00
4 Se 0.5000 0.0000 0.5000  4 Ir 2.96, 4 Ba 2.96, 2 Se 3.00

# 11
Entry from the Alexandria database: BaIrSe2 at its PBEsol-relaxed geometry (SCAN).

Output
The calculation puts the calculated total energy at -37.28 eV per atom. As for the density of states at the Fermi level: 1.08 states/eV/atom. Its space-group type is No. 216.

Lattice parameters (Å, degrees): 7.1017 7.1017 7.1017 90.00 90.00 90.00
With the nearest neighbours (Å) after each atom.
Positions (direct):
1 Ba 0.0000 0.0000 0.0000  4 Se 3.08, 4 Ir 3.08
2 Ba 0.0000 0.5000 0.5000  4 Se 3.08, 4 Ir 3.08
3 Ba 0.5000 0.0000 0.5000  4 Se 3.08, 4 Ir 3.08
4 Ba 0.5000 0.5000 0.0000  4 Se 3.08, 4 Ir 3.08
5 Ir 0.2500 0.2500 0.7500  4 Ba 3.08, 4 Se 3.08
6 Ir 0.2500 0.7500 0.2500  4 Ba 3.08, 4 Se 3.08
7 Ir 0.7500 0.2500 0.2500  4 Ba 3.08, 4 Se 3.08
8 Ir 0.7500 0.7500 0.7500  4 Se 3.08, 4 Ba 3.08
9 Se 0.0000 0.0000 0.5000  4 Ir 3.08, 4 Se 3.08
10 Se 0.0000 0.5000 0.0000  4 Ir 3.08, 4 Se 3.08
11 Se 0.2500 0.2500 0.2500  4 Ba 3.08, 4 Se 3.08
12 Se 0.2500 0.7500 0.7500  4 Ba 3.08, 4 Se 3.08
13 Se 0.5000 0.0000 0.0000  4 Ir 3.08, 4 Se 3.08
14 Se 0.5000 0.5000 0.5000  4 Ir 3.08, 4 Se 3.08
15 Se 0.7500 0.2500 0.7500  4 Ba 3.08, 4 Se 3.08
16 Se 0.7500 0.7500 0.2500  4 Ba 3.08, 4 Se 3.08

# 12
Entry from the Alexandria database: BaIr2Se at its PBEsol-relaxed geometry (SCAN).

Output
The calculation puts the calculated total energy at -49.62 eV per atom. As for the density of states at the Fermi level: 0.89 states/eV/atom. Its space-group type is No. 119.

Lattice parameters (Å, degrees): 4.2136 4.2136 8.9951 90.00 90.00 90.00
With the nearest neighbours (Å) after each atom.
Positions (direct):
1 Ba 0.0000 0.0000 0.0000  8 Ir 2.98-3.08, 4 Se 3.08
2 Ba 0.5000 0.5000 0.5000  8 Ir 2.98-3.08, 4 Se 3.08
3 Ir 0.0000 0.0000 0.5000  4 Ba 2.98, 4 Se 3.08, 4 Ir 3.08
4 Ir 0.0000 0.5000 0.2500  4 Se 2.98, 4 Ba 3.08, 4 Ir 3.08
5 Ir 0.5000 0.0000 0.7500  4 Se 2.98, 4 Ba 3.08, 4 Ir 3.08
6 Ir 0.5000 0.5000 0.0000  4 Ba 2.98, 4 Se 3.08, 4 Ir 3.08
7 Se 0.0000 0.5000 0.7500  8 Ir 2.98-3.08, 4 Ba 3.08
8 Se 0.5000 0.0000 0.2500  8 Ir 2.98-3.08, 4 Ba 3.08